Entry 1:
DFT (GGA-PBE) results for a relaxed LiCa2PdAu crystal.

The value obtained for the calculated formation energy is -0.01 eV per atom.

The space group is P4/mmm (No. 123) and the conventional cell measures 5.418, 5.418 and 4.285 Å, with angles of 90.00, 90.00 and 90.00 degrees. The distinct sites, in fractional coordinates, are Li at (0.000, 0.000, 0.000), Ca at (0.000, 0.500, 0.000), Pd at (0.500, 0.500, 0.500) and Au at (0.000, 0.000, 0.500).



Entry 2:
DFT (GGA-PBE) results for a relaxed LiCa2Pd5Au2 crystal.

The value obtained for the calculated formation energy is -0.47 eV per atom.

The space group is P4/mbm (No. 127) and the conventional cell measures 9.583, 9.583 and 4.189 Å, with angles of 90.00, 90.00 and 90.00 degrees. The distinct sites, in fractional coordinates, are Li at (0.000, 0.000, 0.000), Ca at (0.172, 0.328, 0.000), Pd at (0.000, 0.500, 0.500), Pd at (0.064, 0.804, 0.500) and Au at (0.126, 0.626, 0.000).



Entry 3:
DFT (GGA-PBE) results for a relaxed LiCaPrAu crystal.

The value obtained for the calculated formation energy is -0.40 eV per atom.

The space group is F-43m (No. 216) and the conventional cell measures 7.436, 7.436 and 7.436 Å, with angles of 90.00, 90.00 and 90.00 degrees. The distinct sites, in fractional coordinates, are Li at (0.000, 0.000, 0.000), Ca at (0.250, 0.250, 0.250), Pr at (0.250, 0.250, 0.750) and Au at (0.000, 0.000, 0.500).



Entry 4:
DFT (GGA-PBE) results for a relaxed Li2CaPuAu4 crystal.

The value obtained for the calculated formation energy is -0.55 eV per atom.

The space group is R-3m (No. 166, hexagonal axes) and the conventional cell measures 4.5528, 4.5528 and 28.6976 Å, with angles of 90.00, 90.00 and 120.00 degrees. The distinct sites, in fractional coordinates, are Li at (0.0000, 0.0000, 0.2484), Ca at (0.0000, 0.0000, 0.5000), Pu at (0.0000, 0.0000, 0.0000), Au at (0.0000, 0.0000, 0.1083) and Au at (0.0000, 0.0000, 0.3902).



Entry 5:
DFT (GGA-PBE) results for a relaxed RbLiCa2Au crystal.

The value obtained for the calculated formation energy is 0.35 eV per atom. The calculation puts the energy above the most stable polymorph in this dataset at 0.538 eV/atom.

The space group is P4/mmm (No. 123) and the conventional cell measures 5.827, 5.827 and 6.030 Å, with angles of 90.00, 90.00 and 90.00 degrees. The distinct sites, in fractional coordinates, are Rb at (0.000, 0.000, 0.000), Li at (0.000, 0.000, 0.500), Ca at (0.000, 0.500, 0.500) and Au at (0.500, 0.500, 0.000).



Entry 6:
DFT (GGA-PBE) results for a relaxed RbLiCa2Au crystal.

The value obtained for the calculated formation energy is -0.19 eV per atom. The calculation puts the energy above the most stable polymorph in this dataset at 0.000 eV/atom.

The space group is P4/mmm (No. 123) and the conventional cell measures 5.836, 5.836 and 5.608 Å, with angles of 90.00, 90.00 and 90.00 degrees. The distinct sites, in fractional coordinates, are Rb at (0.000, 0.000, 0.000), Li at (0.500, 0.500, 0.000), Ca at (0.000, 0.500, 0.500) and Au at (0.500, 0.500, 0.500).



Entry 7:
DFT (GGA-PBE) results for a relaxed Rb2LiCaAu crystal.

The value obtained for the calculated formation energy is 0.30 eV per atom.

The space group is P4/mmm (No. 123) and the conventional cell measures 7.618, 7.618 and 5.498 Å, with angles of 90.00, 90.00 and 90.00 degrees. The distinct sites, in fractional coordinates, are Rb at (0.000, 0.500, 0.000), Li at (0.000, 0.000, 0.500), Ca at (0.500, 0.500, 0.000) and Au at (0.500, 0.500, 0.500).



Entry 8:
DFT (GGA-PBE) results for a relaxed LiCaAuS2 crystal.

The calculation puts the energy relative to the elements, uncorrected at -1.241 eV per atom.

The space group is P2/c (No. 13) and the conventional cell measures 6.781, 4.490 and 7.196 Å, with angles of 90.00, 104.82 and 90.00 degrees. The distinct sites, in fractional coordinates, are Li at (0.000, 0.012, 0.250), Ca at (0.500, 0.310, 0.750), Au at (0.000, 0.500, 0.000) and S at (0.282, 0.194, 0.029).



Number 1: final energy -2.88 eV/atom, density of states at the Fermi level 0.40 states/eV per atom. Number 2: final energy -4.31 eV/atom, density of states at the Fermi level 0.33 states/eV per atom. Number 3: final energy -3.39 eV/atom, density of states at the Fermi level 0.72 states/eV per atom. Number 4: final energy -4.71 eV/atom, density of states at the Fermi level 2.05 states/eV per atom. Number 5: final energy -1.68 eV/atom, density of states at the Fermi level 0.65 states/eV per atom. Number 6: final energy -2.22 eV/atom, density of states at the Fermi level 0.45 states/eV per atom. Number 7: final energy -1.52 eV/atom, density of states at the Fermi level 0.60 states/eV per atom. Number 8: final energy -4.33 eV/atom, density of states at the Fermi level 0.00 states/eV per atom.